Record 1
The following is a PBE calculation of a relaxed structure of Tm2InHg3, from Alexandria via LeMat-Bulk.

The size of the total moment comes out at 0.000 Bohr magnetons per cell. The calculated volume is 288.61 Å³/cell. The value obtained for the electronic total energy is -2.45 eV per atom. For the calculated formation energy, the calculation gives -8.12 kcal/mol of atoms. Its crystal system is orthorhombic.

a b c (Å): 6.0251 6.0251 9.1740
angles (deg): 102.17 102.17 110.99
Closest atoms and distances in Å follow each position.
Fractional positions:
Hg1 0.8339 0.8339 0.6678  1 In 2.84, 2 Hg 2.87
Hg2 0.3353 0.8317 0.1670  2 Hg 2.84-2.87, 1 In 2.85
Hg3 0.1683 0.6647 0.8330  2 Hg 2.84-2.87, 1 In 2.85
Hg4 0.1661 0.1661 0.3322  1 In 2.84, 2 Hg 2.87
Hg5 0.8317 0.3353 0.1670  2 Hg 2.84-2.87, 1 In 2.85
Hg6 0.6647 0.1683 0.8330  2 Hg 2.84-2.87, 1 In 2.85
Tm1 0.7500 0.2500 0.5000  8 Hg 3.31-3.33, 4 In 3.33, 2 Tm 3.41
Tm2 0.7533 0.7533 0.0000  10 Hg 3.29-3.33, 2 In 3.33, 2 Tm 3.37-3.46
Tm3 0.2500 0.7500 0.5000  8 Hg 3.31-3.33, 4 In 3.33, 2 Tm 3.41
Tm4 0.2467 0.2467 0.0000  10 Hg 3.29-3.33, 2 In 3.33, 2 Tm 3.37-3.46
In1 0.6673 0.6673 0.3346  3 Hg 2.84-2.85
In2 0.3327 0.3327 0.6654  3 Hg 2.84-2.85

***

Record 2
The following is a PBE calculation of a relaxed structure of Ti2BSeN, from Alexandria via LeMat-Bulk.

The size of the total moment comes out at 0.000 Bohr magnetons per cell. The calculation puts the uncorrected formation energy at 0.7343 eV per atom. The calculated volume is 70.62 Å³/cell. The value obtained for the electronic total energy is -6.12 eV per atom. Its crystal system is tetragonal.

a b c (Å): 4.3357 3.7568 4.3357
angles (deg): 90.00 90.00 90.00
Closest atoms and distances in Å follow each position.
Fractional positions:
B1 0.0000 0.0000 0.0000  2 Se 1.88
Ti1 0.0000 0.0000 0.5000  2 B 2.17
Ti2 0.5000 0.0000 0.0000  2 B 2.17
Se1 0.0000 0.5000 0.0000  2 B 1.88
N1 0.5000 0.5000 0.5000  8 Ti 2.87, 4 Se 3.07

***

Record 3
The following is a PBE calculation of a relaxed structure of NdZn3Rh3, from Alexandria via LeMat-Bulk.

The size of the total moment comes out at 0.000 Bohr magnetons per cell. The calculated volume is 299.80 Å³/cell. The value obtained for the electronic total energy is -4.24 eV per atom. For the calculated formation energy, the calculation gives 3.21 kcal/mol of atoms. Its crystal system is cubic.

a b c (Å): 6.6929 6.6929 6.6929
angles (deg): 90.00 90.00 90.00
Closest atoms and distances in Å follow each position.
Fractional positions:
Rh1 0.2500 0.5000 0.0000  4 Zn 2.37
Rh2 0.0000 0.7500 0.5000  4 Zn 2.37
Rh3 0.5000 0.0000 0.7500  4 Zn 2.37
Rh4 0.7500 0.5000 0.0000  4 Zn 2.37
Rh5 0.0000 0.2500 0.5000  4 Zn 2.37
Rh6 0.5000 0.0000 0.2500  4 Zn 2.37
Zn1 0.7500 0.0000 0.5000  4 Rh 2.37
Zn2 0.5000 0.7500 0.0000  4 Rh 2.37
Zn3 0.0000 0.5000 0.7500  4 Rh 2.37
Zn4 0.5000 0.2500 0.0000  4 Rh 2.37
Zn5 0.2500 0.0000 0.5000  4 Rh 2.37
Zn6 0.0000 0.5000 0.2500  4 Rh 2.37
Nd1 0.5000 0.5000 0.5000  12 Rh 3.74, 12 Zn 3.74
Nd2 0.0000 0.0000 0.0000  12 Zn 3.74, 12 Rh 3.74